{"formula": "Fe8Co2Ge", "functional": "PBE", "state": "optimized geometry", "lattice_angstrom": [[7.239, -1.452, 0.000], [7.239, 1.452, 0.000], [-1.650, 0.000, 6.109]], "species": ["Fe", "Fe", "Fe", "Fe", "Fe", "Fe", "Fe", "Fe", "Co", "Co", "Ge"], "fractional_positions": [[0.046, 0.046, 0.224], [0.141, 0.141, 0.687], [0.319, 0.319, 0.592], [0.409, 0.409, 0.045], [0.591, 0.591, 0.955], [0.681, 0.681, 0.408], [0.859, 0.859, 0.313], [0.954, 0.954, 0.776], [0.227, 0.227, 0.136], [0.773, 0.773, 0.864], [0.500, 0.500, 0.500]], "space_group": "C2/m, No. 12", "e_form_ev_per_atom": -0.03, "rho_g_cm3": 8.2}

***

{"formula": "Fe8Co2Ge", "functional": "PBE", "state": "optimized geometry", "lattice_angstrom": [[4.587, -4.093, 0.000], [4.587, 4.093, 0.000], [-0.996, 0.000, 3.957]], "species": ["Fe", "Fe", "Fe", "Fe", "Fe", "Fe", "Fe", "Fe", "Co", "Co", "Ge"], "fractional_positions": [[0.078, 0.078, 0.294], [0.148, 0.662, 0.199], [0.228, 0.228, 0.878], [0.338, 0.852, 0.801], [0.662, 0.148, 0.199], [0.772, 0.772, 0.122], [0.852, 0.338, 0.801], [0.922, 0.922, 0.706], [0.358, 0.358, 0.443], [0.642, 0.642, 0.557], [0.500, 0.500, 0.000]], "space_group": "C2/m, No. 12", "e_form_ev_per_atom": 0.40, "rho_g_cm3": 7.1}

***

{"formula": "Fe3CoGe", "functional": "PBE", "state": "optimized geometry", "lattice_angstrom": [[4.455, 0.000, 0.000], [0.000, 4.455, 0.000], [0.000, 0.000, 4.455]], "species": ["Fe", "Fe", "Fe", "Co", "Ge"], "fractional_positions": [[0.000, 0.000, 0.500], [0.000, 0.500, 0.000], [0.500, 0.000, 0.000], [0.000, 0.000, 0.000], [0.500, 0.500, 0.500]], "space_group": "Pm-3m, No. 221", "e_form_ev_per_atom": 0.92, "rho_g_cm3": 5.6}

***

Number 1: D(E_F) 7.5 states/eV/cell. Number 2: D(E_F) 11.1 states/eV/cell. Number 3: D(E_F) 7.9 states/eV/cell.